VASP calculation (PBE) on crystalline AlCdFe2 at its relaxed geometry.

a = 4.535 Å, b = 4.535 Å, c = 2.796 Å
α = 90.00°, β = 90.00°, γ = 90.00°
Space group P4/mmm (No. 123)
Symmetry-distinct sites (fractional):
Al  0.000  0.000  0.000 (multiplicity 1)
Cd  0.500  0.500  0.000 (multiplicity 1)
Fe  0.000  0.500  0.500 (multiplicity 2)

Calculated values
The calculated volume comes out at 14.375 Å³/atom. The calculation puts the formation energy from the elements at 0.18 eV/atom. For the energy above the lowest structure with this stoichiometry, the calculation gives 133.3 meV/atom.